Entry 1:
Entry from the Alexandria database: an optimized crystal structure of ZrMnSn3 (GGA-PBE).

POSCAR file:
```
ZrMnSn3
1.0
-4.0186 -2.8022 0.3240
1.6229 -2.7578 -3.7238
2.3073 -2.9408 3.1834
Sn Zr Mn
3 1 1
Direct
0.0000 0.5000 0.0000 Sn
0.5000 0.0000 0.0000 Sn
0.0000 0.0000 0.5000 Sn
0.5000 0.5000 0.5000 Zr
0.0000 0.0000 0.0000 Mn
```

- E_form (eV per formula unit) = 2.7
- DOS(E_F) (states/eV/atom) = 1.951
- M_tot (Bohr magnetons per cell) = 0.00

Entry 2:
Entry from the Alexandria database: an optimized crystal structure of Na3GeF6 (GGA-PBE).

POSCAR file:
```
Na3GeF6
1.0
5.9557 0.0000 0.0000
0.0000 7.1255 -0.1831
0.0000 -1.7685 6.9049
Na F Ge
6 12 2
Direct
0.9631 0.6371 0.8839 Na
0.4631 0.8839 0.6371 Na
0.0362 0.5656 0.4344 Na
0.5362 0.4344 0.5656 Na
0.4631 0.3629 0.1161 Na
0.9631 0.1161 0.3629 Na
0.7325 0.2591 0.7409 F
0.6055 0.9580 0.3515 F
0.2700 0.2900 0.3535 F
0.2325 0.7409 0.2591 F
0.6058 0.0214 0.9786 F
0.1055 0.3515 0.9580 F
0.2700 0.6465 0.7100 F
0.1058 0.9786 0.0214 F
0.7700 0.3535 0.2900 F
0.1055 0.0420 0.6485 F
0.6055 0.6485 0.0420 F
0.7700 0.7100 0.6465 F
0.4337 0.8707 0.1293 Ge
0.9337 0.1293 0.8707 Ge
```

- raw formation energy (eV/atom) = -2.453
- DOS(E_F) (states/eV/atom) = 0.167
- M_tot (Bohr magnetons per cell) = 0.00

Entry 3:
Entry from the Alexandria database: an optimized crystal structure of MnTl2As (GGA-PBE).

POSCAR file:
```
MnTl2As
1.0
4.3211 0.0000 0.0000
0.0000 4.3037 0.3363
0.0000 3.4776 5.4471
Tl Mn As
2 1 1
Direct
0.5000 0.5000 0.0000 Tl
0.0000 0.0000 0.0000 Tl
0.0000 0.0000 0.5000 Mn
0.5000 0.5000 0.5000 As
```

- E_form (eV per formula unit) = 1.5
- excess energy over the best structure of this formula in the dataset (eV/atom) = 0.3012
- DOS(E_F) (states/eV/atom) = 0.548
- M_tot (Bohr magnetons per cell) = 4.47

Entry 4:
Entry from the Alexandria database: an optimized crystal structure of Tm4NiSeS2 (GGA-PBE).

POSCAR file:
```
Tm4NiSeS2
1.0
3.8190 0.0000 0.0000
0.0000 6.8488 -0.1864
0.0000 2.3627 6.4474
Ni S Tm Se
1 2 4 1
Direct
0.0000 0.5000 0.5000 Ni
0.5000 0.0000 0.5000 S
0.0000 0.0000 0.0000 S
0.0000 0.7542 0.7347 Tm
0.0000 0.2458 0.2653 Tm
0.5000 0.7392 0.2691 Tm
0.5000 0.2608 0.7309 Tm
0.5000 0.5000 0.0000 Se
```

- raw formation energy (eV/atom) = -1.467
- DOS(E_F) (states/eV/atom) = 0.564
- M_tot (Bohr magnetons per cell) = 0.00

Which of these has the highest DOS(E_F)?
ZrMnSn3

Look up the DOS(E_F) of the third one.
0.548 states/eV/atom